The following is a PBE calculation of ErPaTl2 after structural relaxation, from Alexandria.

abc: 5.358 5.358 5.358
angles: 60.00 60.00 60.00
Last column: magnetic moment on the atom in μB.
Fractional coordinates of all 4 atoms:
1 Tl 0.750 0.750 0.750  0.01
2 Tl 0.250 0.250 0.250  0.01
3 Pa 0.000 0.000 0.000  1.07
4 Er 0.500 0.500 0.500  0.16

Output
The value obtained for the formation enthalpy at 0 K is 0.30 eV/f.u. The calculation puts the final energy at -0.170 hartree per atom. The space group is Fm-3m. The value obtained for the distance to the lowest polymorph of the same formula is 0.097 eV/atom.